A plane-wave DFT calculation with PBE was carried out for crystalline CdHg2Pd5 at its relaxed geometry.

Cell: 5.6843 5.6689 6.1096 Å, 57.56 57.32 65.11°
Atoms (fractional coordinates):
Cd  0.0000  0.0000  0.0000
Hg  0.0006  0.0006  0.4994
Hg  0.5006  0.5006  0.9994
Pd  0.0008  0.5003  0.4997
Pd  0.0008  0.5003  0.9992
Pd  0.5003  0.0008  0.4997
Pd  0.5003  0.0008  0.9992
Pd  0.5009  0.5009  0.4991

Calculated values
Calculated formation energy   -213 meV per atom
SG   Fmm2 (42)